First-principles (GGA-PBE) data for a relaxed structure of LaRe2Br, as listed in Alexandria.

The structure belongs to space group Pmmm (No. 47); the cell edges are 3.3689, 4.3526 and 5.7173 Å and the angles 90.00°, 90.00° and 90.00°. The distinct sites, in fractional coordinates, are La at (0.0000, 0.0000, 0.0000), Re at (0.0000, 0.5000, 0.5000), Re at (0.5000, 0.0000, 0.5000) and Br at (0.5000, 0.5000, 0.0000).

The calculation puts the final energy at -29.2 eV/cell. The formation energy without anion corrections comes out at 55.7 kJ/mol of atoms. For the total magnetization, the calculation gives 0.07 μB per atom. The energy above the most stable polymorph in this dataset comes out at 525.2 meV per atom.

=====

First-principles (GGA-PBE) data for a relaxed structure of LaRe2Br, as listed in Alexandria.

The structure belongs to space group P2/m (No. 10); the cell edges are 3.2121, 5.5827 and 4.6510 Å and the angles 90.00°, 90.39° and 90.00°. The distinct sites, in fractional coordinates, are La at (0.0000, 0.0000, 0.0000), Re at (0.3268, 0.5000, 0.2423) and Br at (0.5000, 0.0000, 0.5000).

The calculation puts the final energy at -29.3 eV/cell. The formation energy without anion corrections comes out at 51.8 kJ/mol of atoms. For the total magnetization, the calculation gives 0.00 μB per atom. The energy above the most stable polymorph in this dataset comes out at 485.1 meV per atom.

=====

First-principles (GGA-PBE) data for a relaxed structure of LaRe2Br, as listed in Alexandria.

The structure belongs to space group P4/mmm (No. 123); the cell edges are 3.1063, 3.1063 and 8.0666 Å and the angles 90.00°, 90.00° and 90.00°. The distinct sites, in fractional coordinates, are La at (0.0000, 0.0000, 0.0000), Re at (0.5000, 0.5000, 0.3003) and Br at (0.0000, 0.0000, 0.5000).

The calculation puts the final energy at -26.3 eV/cell. The formation energy without anion corrections comes out at 124.9 kJ/mol of atoms. For the total magnetization, the calculation gives 0.00 μB per atom. The energy above the most stable polymorph in this dataset comes out at 1242.7 meV per atom.

=====

First-principles (GGA-PBE) data for a relaxed structure of La3ReBr2, as listed in Alexandria.

The structure belongs to space group C2/m (No. 12); the cell edges are 7.5684, 12.8878 and 8.2315 Å and the angles 90.00°, 109.77° and 90.00°. The distinct sites, in fractional coordinates, are La at (0.1938, 0.0000, 0.2017), La at (0.2430, 0.3125, 0.2065), Re at (0.0000, 0.1711, 0.0000), Br at (0.0000, 0.0000, 0.5000), Br at (0.0000, 0.3426, 0.5000) and Br at (0.0000, 0.5000, 0.0000).

The calculation puts the final energy at -142.8 eV/cell. The formation energy without anion corrections comes out at -82.3 kJ/mol of atoms. For the total magnetization, the calculation gives 0.00 μB per atom.

=====

First-principles (GGA-PBE) data for a relaxed structure of LaRe2Br, as listed in Alexandria.

The structure belongs to space group Cmmm (No. 65); the cell edges are 5.4205, 9.7724 and 3.1030 Å and the angles 90.00°, 90.00° and 90.00°. The distinct sites, in fractional coordinates, are La at (0.0000, 0.0000, 0.0000), Re at (0.2500, 0.2500, 0.5000) and Br at (0.0000, 0.5000, 0.0000).

The calculation puts the final energy at -54.5 eV/cell. The formation energy without anion corrections comes out at 102.1 kJ/mol of atoms. For the total magnetization, the calculation gives 0.00 μB per atom. The energy above the most stable polymorph in this dataset comes out at 1006.6 meV per atom.

=====

First-principles (GGA-PBE) data for a relaxed structure of LaReSeBr2, as listed in Alexandria.

The structure belongs to space group P4/mmm (No. 123); the cell edges are 5.8382, 5.8382 and 5.7874 Å and the angles 90.00°, 90.00° and 90.00°. The distinct sites, in fractional coordinates, are La at (0.0000, 0.0000, 0.0000), Re at (0.5000, 0.5000, 0.5000), Se at (0.0000, 0.0000, 0.5000) and Br at (0.0000, 0.5000, 0.0000).

The calculation puts the final energy at -23.5 eV/cell. The formation energy without anion corrections comes out at 13.9 kJ/mol of atoms. For the total magnetization, the calculation gives 1.20 μB per atom. The energy above the most stable polymorph in this dataset comes out at 0.0 meV per atom.

=====

First-principles (GGA-PBE) data for a relaxed structure of LaReSeBr2, as listed in Alexandria.

The structure belongs to space group P4/mmm (No. 123); the cell edges are 5.4455, 5.4455 and 5.7252 Å and the angles 90.00°, 90.00° and 90.00°. The distinct sites, in fractional coordinates, are La at (0.0000, 0.0000, 0.0000), Re at (0.5000, 0.5000, 0.0000), Se at (0.0000, 0.0000, 0.5000) and Br at (0.0000, 0.5000, 0.5000).

The calculation puts the final energy at -20.3 eV/cell. The formation energy without anion corrections comes out at 75.9 kJ/mol of atoms. For the total magnetization, the calculation gives 0.81 μB per atom. The energy above the most stable polymorph in this dataset comes out at 642.9 meV per atom.

=====

First-principles (GGA-PBE) data for a relaxed structure of LaRhBr, as listed in Alexandria.

The structure belongs to space group F-43m (No. 216); the cell edges are 6.7449, 6.7449 and 6.7449 Å and the angles 90.00°, 90.00° and 90.00°. The distinct sites, in fractional coordinates, are La at (0.0000, 0.0000, 0.0000), Rh at (0.2500, 0.2500, 0.7500) and Br at (0.0000, 0.0000, 0.5000).

The calculation puts the final energy at -63.1 eV/cell. The formation energy without anion corrections comes out at -58.3 kJ/mol of atoms. For the total magnetization, the calculation gives 0.00 μB per atom.

=====

Q: total magnetization of number 6 (LaReSeBr2)?
A: 1.20 μB per atom